[1]
# Ba2ScTc, relaxed, DFT PBE-GGA
# Mass density: 5.598 Mg/m³
# E_form: 958 meV per atom
# Energy above the most stable polymorph in this dataset: 612 meV/atom
# E: -4.178 eV/atom
# Size of the total moment: 0.266 μB per atom
data_Ba2ScTc
_space_group_name_H-M_alt 'C 1 2/m 1'
_space_group_IT_number 12
_cell_length_a 6.640
_cell_length_b 10.407
_cell_length_c 3.585
_cell_angle_alpha 90.00
_cell_angle_beta 90.16
_cell_angle_gamma 90.00
loop_
_space_group_symop_operation_xyz
'x,y,z'
'-x,-y,-z'
'-x,y,-z'
'x,-y,z'
'x+1/2,y+1/2,z'
'-x+1/2,-y+1/2,-z'
'-x+1/2,y+1/2,-z'
'x+1/2,-y+1/2,z'
loop_
_atom_site_label
_atom_site_type_symbol
_atom_site_fract_x
_atom_site_fract_y
_atom_site_fract_z
Ba1 Ba 0.250 0.250 0.000
Sc1 Sc 0.000 0.000 0.500
Tc1 Tc 0.000 0.500 0.500

***

[2]
# NpBeC2, relaxed, DFT PBE-GGA
# Mass density: 7.771 Mg/m³
# E_form: 514 meV per atom
# E: -8.264 eV/atom
# Size of the total moment: 0.251 μB per atom
data_NpBeC2
_space_group_name_H-M_alt 'R -3 m'
_space_group_IT_number 166
_space_group_name_Hall '-R 3 2"'
_cell_length_a 3.6251
_cell_length_b 3.6251
_cell_length_c 15.2092
_cell_angle_alpha 90.00
_cell_angle_beta 90.00
_cell_angle_gamma 120.00
loop_
_atom_site_label
_atom_site_type_symbol
_atom_site_fract_x
_atom_site_fract_y
_atom_site_fract_z
Np1 Np 0.0000 0.0000 0.0000
Be1 Be 0.0000 0.0000 0.5000
C1 C 0.0000 0.0000 0.3915

***

[3]
# CoHSe, relaxed, DFT PBE-GGA
# Mass density: 5.642 Mg/m³
# Energy above the most stable polymorph in this dataset: 45 meV/atom
# E: -4.592 eV/atom
# Size of the total moment: 0.000 μB per atom
data_CoHSe
_space_group_name_H-M_alt 'C 1 2 1'
_space_group_IT_number 5
_cell_length_a 7.681
_cell_length_b 5.624
_cell_length_c 4.931
_cell_angle_alpha 90.00
_cell_angle_beta 129.86
_cell_angle_gamma 90.00
loop_
_space_group_symop_operation_xyz
'x,y,z'
'-x,y,-z'
'x+1/2,y+1/2,z'
'-x+1/2,y+1/2,-z'
loop_
_atom_site_label
_atom_site_type_symbol
_atom_site_fract_x
_atom_site_fract_y
_atom_site_fract_z
Co1 Co 0.001 0.000 0.251
H1 H 0.000 0.185 0.500
H2 H 0.000 0.811 0.000
Se1 Se 0.224 0.696 0.724

***

[4]
# PrMg4Zr, relaxed, DFT PBE-GGA
# Mass density: 3.656 Mg/m³
# E_form: 50 meV per atom
# E: -3.235 eV/atom
# Size of the total moment: 0.353 μB per atom
data_PrMg4Zr
_space_group_name_H-M_alt 'F -4 3 m'
_space_group_IT_number 216
_space_group_name_Hall 'F -4 2 3'
_cell_length_a 8.427
_cell_length_b 8.427
_cell_length_c 8.427
_cell_angle_alpha 90.00
_cell_angle_beta 90.00
_cell_angle_gamma 90.00
loop_
_atom_site_label
_atom_site_type_symbol
_atom_site_fract_x
_atom_site_fract_y
_atom_site_fract_z
Pr1 Pr 0.000 0.000 0.000
Mg1 Mg 0.124 0.124 0.624
Zr1 Zr 0.250 0.250 0.250

***

[5]
# YbMg2Cd, relaxed, DFT PBE-GGA
# Mass density: 5.276 Mg/m³
# E_form: -186 meV per atom
# E: -1.594 eV/atom
# Size of the total moment: 0.000 μB per atom
data_YbMg2Cd
_space_group_name_H-M_alt 'P 1 21/m 1'
_space_group_IT_number 11
_cell_length_a 4.555
_cell_length_b 8.513
_cell_length_c 5.876
_cell_angle_alpha 90.00
_cell_angle_beta 112.65
_cell_angle_gamma 90.00
loop_
_space_group_symop_operation_xyz
'x,y,z'
'-x,-y,-z'
'-x,y+1/2,-z'
'x,-y+1/2,z'
loop_
_atom_site_label
_atom_site_type_symbol
_atom_site_fract_x
_atom_site_fract_y
_atom_site_fract_z
Yb1 Yb 0.063 0.250 0.126
Mg1 Mg 0.360 0.055 0.719
Cd1 Cd 0.229 0.750 0.458

***

[6]
# MoP2, relaxed, DFT PBE-GGA
# Mass density: 6.073 Mg/m³
# E_form: -286 meV per atom
# E: -7.503 eV/atom
# Size of the total moment: 0.000 μB per atom
data_MoP2
_space_group_name_H-M_alt 'C m c m'
_space_group_IT_number 63
_space_group_name_Hall '-C 2c 2'
_cell_length_a 3.127
_cell_length_b 11.778
_cell_length_c 4.689
_cell_angle_alpha 90.00
_cell_angle_beta 90.00
_cell_angle_gamma 90.00
loop_
_atom_site_label
_atom_site_type_symbol
_atom_site_fract_x
_atom_site_fract_y
_atom_site_fract_z
Mo1 Mo 0.000 0.199 0.250
P1 P 0.000 0.136 0.750
P2 P 0.000 0.470 0.750

***

[7]
# Mn2NbCr2, relaxed, DFT PBE-GGA
# Mass density: 7.993 Mg/m³
# E_form: 194 meV per atom
# E: -9.337 eV/atom
# Size of the total moment: 0.000 μB per atom
data_Mn2NbCr2
_space_group_name_H-M_alt 'P 4/m b m'
_space_group_IT_number 127
_space_group_name_Hall '-P 4 2ab'
_cell_length_a 6.904
_cell_length_b 6.904
_cell_length_c 2.674
_cell_angle_alpha 90.00
_cell_angle_beta 90.00
_cell_angle_gamma 90.00
loop_
_atom_site_label
_atom_site_type_symbol
_atom_site_fract_x
_atom_site_fract_y
_atom_site_fract_z
Mn1 Mn 0.147 0.353 0.000
Nb1 Nb 0.000 0.000 0.500
Cr1 Cr 0.148 0.648 0.500

***

[8]
# V2CdB, relaxed, DFT PBE-GGA
# Mass density: 6.058 Mg/m³
# E_form: 185 meV per atom
# Energy above the most stable polymorph in this dataset: 0 meV/atom
# E: -6.273 eV/atom
# Size of the total moment: 0.002 μB per atom
data_V2CdB
_space_group_name_H-M_alt 'R -3 m'
_space_group_IT_number 166
_space_group_name_Hall '-R 3 2"'
_cell_length_a 2.9801
_cell_length_b 2.9801
_cell_length_c 24.0676
_cell_angle_alpha 90.00
_cell_angle_beta 90.00
_cell_angle_gamma 120.00
loop_
_atom_site_label
_atom_site_type_symbol
_atom_site_fract_x
_atom_site_fract_y
_atom_site_fract_z
V1 V 0.0000 0.0000 0.1192
Cd1 Cd 0.0000 0.0000 0.0000
B1 B 0.0000 0.0000 0.5000